(1)
DFT (PBE) results for Ac3ZnIr8 after structural relaxation.

Cell: 5.5308 5.5308 9.4668 Å, 73.02 73.02 60.00°
Fractional coordinates of all 12 atoms:
Ac (0.6233, 0.6233, 0.1300)
Ac (0.0078, 0.0078, 0.9765)
Ac (0.4944, 0.4944, 0.5167)
Zn (0.1414, 0.1414, 0.5758)
Ir (0.5613, 0.0646, 0.8128)
Ir (0.0583, 0.5605, 0.3229)
Ir (0.5613, 0.5613, 0.8128)
Ir (0.0583, 0.0583, 0.3229)
Ir (0.8091, 0.8091, 0.5726)
Ir (0.3096, 0.3096, 0.0712)
Ir (0.0646, 0.5613, 0.8128)
Ir (0.5605, 0.0583, 0.3229)

Output
The formation enthalpy at 0 K comes out at -8.3 kcal/mol of atoms. As for the density of states at the Fermi level: 14.08 states/eV/f.u.

(2)
DFT (PBE) results for Ac8Zn2Ir after structural relaxation.

Cell: 4.1798 10.0812 10.2062 Å, 94.08 101.82 90.00°
Fractional coordinates of all 11 atoms:
Ac (0.5944, 0.5205, 0.1888)
Ac (0.3484, 0.0017, 0.6969)
Ac (0.2249, 0.3345, 0.4498)
Ac (0.9912, 0.7935, 0.9824)
Ac (0.7751, 0.6655, 0.5502)
Ac (0.6516, 0.9983, 0.3031)
Ac (0.4056, 0.4795, 0.8112)
Ac (0.0088, 0.2065, 0.0176)
Zn (0.1615, 0.7463, 0.3230)
Zn (0.8385, 0.2537, 0.6770)
Ir (0.5000, 0.0000, 0.0000)

Output
The energy above the lowest structure with this stoichiometry comes out at 0.000 eV per formula unit. The formation enthalpy at 0 K comes out at -4.6 kcal/mol of atoms. As for the density of states at the Fermi level: 12.93 states/eV/f.u.

(3)
DFT (PBE) results for AcZn12Ir4 after structural relaxation.

Cell: 8.2026 8.2026 8.2026 Å, 109.47 109.47 109.47°
Fractional coordinates of all 17 atoms:
Ac (0.0000, 0.0000, 0.0000)
Zn (0.7109, 0.2876, 0.9985)
Zn (0.2876, 0.5767, 0.2891)
Zn (0.0015, 0.2891, 0.7124)
Zn (0.2876, 0.9985, 0.7109)
Zn (0.9985, 0.7109, 0.2876)
Zn (0.7124, 0.4233, 0.7109)
Zn (0.5767, 0.2891, 0.2876)
Zn (0.4233, 0.7109, 0.7124)
Zn (0.7124, 0.0015, 0.2891)
Zn (0.7109, 0.7124, 0.4233)
Zn (0.2891, 0.2876, 0.5767)
Zn (0.2891, 0.7124, 0.0015)
Ir (0.0000, 0.5000, 0.0000)
Ir (0.5000, 0.0000, 0.0000)
Ir (0.5000, 0.5000, 0.5000)
Ir (0.0000, 0.0000, 0.5000)

Output
The formation enthalpy at 0 K comes out at 1.1 kcal/mol of atoms. As for the density of states at the Fermi level: 3.90 states/eV/f.u.